# Zr6FePd

Crystalline Zr6FePd at its relaxed geometry (PBE-GGA, the Alexandria database).

Summary:
Its density is 7.23 g cm⁻³. For the volume, the calculation gives 20.38 Å³/atom. The energy relative to the elements comes out at -0.124 eV per atom.

Lattice parameters (Å, degrees): 5.602 5.602 5.854 95.20 95.20 115.75
Atoms (fractional coordinates):
Zr (0.054, 0.652, 0.742)
Zr (0.258, 0.258, 0.884)
Zr (0.348, 0.946, 0.258)
Zr (0.652, 0.054, 0.742)
Zr (0.742, 0.742, 0.116)
Zr (0.946, 0.348, 0.258)
Fe (0.000, 0.000, 0.500)
Pd (0.500, 0.500, 0.500)